Compound: Tm2ZrNpN4
Source: the Alexandria database
Functional: PBE
Structure: optimized geometry

Space group: No. 10
Magnetization: 3.174 Bohr magnetons per cell
Raw total energy: -76.6 eV for the cell shown
Formation energy without anion corrections: -1.614 eV/atom

Structure (POSCAR):
```
Tm2ZrNpN4
1.0
5.833 0.000 0.000
0.000 3.369 0.000
-1.906 0.000 5.516
Tm Zr Np N
2 1 1 4
direct
0.000 0.000 0.000 Tm
0.000 0.500 0.500 Tm
0.500 0.000 0.500 Zr
0.500 0.500 0.000 Np
0.256 0.000 0.747 N
0.260 0.500 0.254 N
0.740 0.500 0.746 N
0.744 0.000 0.253 N
```